[1]
The following is a PBE-GGA calculation of crystalline HgAsP at its relaxed geometry, from Alexandria via LeMat-Bulk.

The value obtained for the energy is -3.4068 eV/atom. Its size of the total moment is 0.00 μB per atom. The energy above the most stable polymorph in this dataset is 0.004 kcal/mol of atoms. As for the calculated formation energy: 0.05 eV/atom.

It has space group Cm (No. 8), with a = 5.994 Å, b = 3.461 Å, c = 7.998 Å, α = 90.00°, β = 103.75° and γ = 90.00°. Symmetry generates all atoms from Hg at (0.000, 0.000, 0.000), As at (0.294, 0.500, 0.418) and P at (0.014, 0.500, 0.588).


[2]
The following is a PBE-GGA calculation of crystalline Hg2AsP at its relaxed geometry, from Alexandria via LeMat-Bulk.

The value obtained for the energy is -2.4009 eV/atom. Its size of the total moment is 0.00 μB per atom. The energy above the most stable polymorph in this dataset is 3.884 kcal/mol of atoms. The density of states at the Fermi level comes out at 3.4 states/eV per cell. As for the calculated formation energy: 0.26 eV/atom.

It has space group Cmm2 (No. 35), with a = 3.382 Å, b = 5.556 Å, c = 10.729 Å, α = 90.00°, β = 90.00° and γ = 90.00°. Symmetry generates all atoms from Hg at (0.000, 0.000, 0.000), Hg at (0.000, 0.500, 0.284), As at (0.000, 0.500, 0.706) and P at (0.000, 0.000, 0.556).


[3]
The following is a PBE-GGA calculation of crystalline HgAs2P2 at its relaxed geometry, from Alexandria via LeMat-Bulk.

The value obtained for the energy is -3.8153 eV/atom. Its size of the total moment is 0.00 μB per atom. The energy above the most stable polymorph in this dataset is 0.000 kcal/mol of atoms. The density of states at the Fermi level comes out at 3.1 states/eV per cell. As for the calculated formation energy: 0.27 eV/atom.

It has space group I4/mmm (No. 139), with a = 4.423 Å, b = 4.423 Å, c = 12.877 Å, α = 90.00°, β = 90.00° and γ = 90.00°. Symmetry generates all atoms from Hg at (0.000, 0.000, 0.000), As at (0.000, 0.000, 0.339) and P at (0.000, 0.500, 0.250).


[4]
The following is a PBE-GGA calculation of crystalline Hg2AsP at its relaxed geometry, from Alexandria via LeMat-Bulk.

The value obtained for the energy is -2.1350 eV/atom. Its size of the total moment is 0.00 μB per atom. The energy above the most stable polymorph in this dataset is 10.016 kcal/mol of atoms. The density of states at the Fermi level comes out at 2.1 states/eV per cell. As for the calculated formation energy: 0.53 eV/atom.

It has space group Pmmm (No. 47), with a = 3.859 Å, b = 4.054 Å, c = 5.585 Å, α = 90.00°, β = 90.00° and γ = 90.00°. Symmetry generates all atoms from Hg at (0.000, 0.000, 0.000), Hg at (0.500, 0.000, 0.500), As at (0.000, 0.500, 0.500) and P at (0.500, 0.500, 0.000).


[5]
The following is a PBE-GGA calculation of crystalline Hg2AsP at its relaxed geometry, from Alexandria via LeMat-Bulk.

The value obtained for the energy is -2.4496 eV/atom. Its size of the total moment is 0.00 μB per atom. The energy above the most stable polymorph in this dataset is 2.761 kcal/mol of atoms. The density of states at the Fermi level comes out at 1.2 states/eV per cell. As for the calculated formation energy: 0.22 eV/atom.

It has space group P4mm (No. 99), with a = 3.158 Å, b = 3.158 Å, c = 10.144 Å, α = 90.00°, β = 90.00° and γ = 90.00°. Symmetry generates all atoms from Hg at (0.000, 0.000, 0.000), Hg at (0.500, 0.500, 0.312), As at (0.500, 0.500, 0.705) and P at (0.000, 0.000, 0.590).


[6]
The following is a PBE-GGA calculation of crystalline HgAsP3 at its relaxed geometry, from Alexandria via LeMat-Bulk.

The value obtained for the energy is -3.8394 eV/atom. Its size of the total moment is 0.00 μB per atom. The energy above the most stable polymorph in this dataset is 0.000 kcal/mol of atoms. The density of states at the Fermi level comes out at 6.9 states/eV per cell. As for the calculated formation energy: 0.40 eV/atom.

It has space group C2/m (No. 12), with a = 4.577 Å, b = 8.774 Å, c = 12.066 Å, α = 90.00°, β = 97.15° and γ = 90.00°. Symmetry generates all atoms from Hg at (0.227, 0.000, 0.426), As at (0.000, 0.186, 0.000), P at (0.150, 0.211, 0.241) and P at (0.241, 0.000, 0.147).


[7]
The following is a PBE-GGA calculation of crystalline HgAsP at its relaxed geometry, from Alexandria via LeMat-Bulk.

The value obtained for the energy is -3.3685 eV/atom. Its size of the total moment is 0.00 μB per atom. The energy above the most stable polymorph in this dataset is 0.888 kcal/mol of atoms. The density of states at the Fermi level comes out at 0.5 states/eV per cell. As for the calculated formation energy: 0.09 eV/atom.

It has space group P1 (No. 1), with a = 3.470 Å, b = 4.527 Å, c = 5.274 Å, α = 105.79°, β = 90.24° and γ = 112.35°. Symmetry generates all atoms from Hg at (0.000, 0.000, 0.000), As at (0.287, 0.574, 0.382) and P at (0.723, 0.443, 0.638).


[8]
The following is a PBE-GGA calculation of crystalline Hg2AsP at its relaxed geometry, from Alexandria via LeMat-Bulk.

The value obtained for the energy is -2.5693 eV/atom. Its size of the total moment is 0.00 μB per atom. The energy above the most stable polymorph in this dataset is 0.000 kcal/mol of atoms. The density of states at the Fermi level comes out at 1.8 states/eV per cell. As for the calculated formation energy: 0.10 eV/atom.

It has space group Cm (No. 8), with a = 7.733 Å, b = 3.422 Å, c = 7.596 Å, α = 90.00°, β = 93.56° and γ = 90.00°. Symmetry generates all atoms from Hg at (0.000, 0.000, 0.000), Hg at (0.232, 0.000, 0.716), As at (0.292, 0.500, 0.289) and P at (0.438, 0.000, 0.445).


[9]
The following is a PBE-GGA calculation of crystalline Hg2AsP at its relaxed geometry, from Alexandria via LeMat-Bulk.

The value obtained for the energy is -2.0120 eV/atom. Its size of the total moment is 0.00 μB per atom. The energy above the most stable polymorph in this dataset is 12.853 kcal/mol of atoms. The density of states at the Fermi level comes out at 14.6 states/eV per cell. As for the calculated formation energy: 0.65 eV/atom.

It has space group Fm-3m (No. 225), with a = 6.963 Å, b = 6.963 Å, c = 6.963 Å, α = 90.00°, β = 90.00° and γ = 90.00°. Symmetry generates all atoms from Hg at (0.250, 0.250, 0.250), As at (0.000, 0.000, 0.000) and P at (0.000, 0.000, 0.500).


[10]
The following is a PBE-GGA calculation of crystalline Hg3AsP at its relaxed geometry, from Alexandria via LeMat-Bulk.

The value obtained for the energy is -1.5066 eV/atom. Its size of the total moment is 0.35 μB per atom. The energy above the most stable polymorph in this dataset is 3.145 kcal/mol of atoms. The density of states at the Fermi level comes out at 1.9 states/eV per cell. As for the calculated formation energy: 0.69 eV/atom.

It has space group Pm-3m (No. 221), with a = 5.324 Å, b = 5.324 Å, c = 5.324 Å, α = 90.00°, β = 90.00° and γ = 90.00°. Symmetry generates all atoms from Hg at (0.000, 0.000, 0.500), As at (0.000, 0.000, 0.000) and P at (0.500, 0.500, 0.500).


[11]
The following is a PBE-GGA calculation of crystalline HgAs2P at its relaxed geometry, from Alexandria via LeMat-Bulk.

The value obtained for the energy is -3.4819 eV/atom. Its size of the total moment is 0.00 μB per atom. The energy above the most stable polymorph in this dataset is 0.835 kcal/mol of atoms. The density of states at the Fermi level comes out at 1.4 states/eV per cell. As for the calculated formation energy: 0.27 eV/atom.

It has space group Cm (No. 8), with a = 12.843 Å, b = 3.211 Å, c = 5.338 Å, α = 90.00°, β = 92.25° and γ = 90.00°. Symmetry generates all atoms from Hg at (0.000, 0.000, 0.000), As at (0.239, 0.000, 0.808), As at (0.365, 0.000, 0.469) and P at (0.219, 0.500, 0.459).


[12]
The following is a PBE-GGA calculation of crystalline HgAs2P at its relaxed geometry, from Alexandria via LeMat-Bulk.

The value obtained for the energy is -3.1685 eV/atom. Its size of the total moment is 0.00 μB per atom. The energy above the most stable polymorph in this dataset is 8.062 kcal/mol of atoms. The density of states at the Fermi level comes out at 10.8 states/eV per cell. As for the calculated formation energy: 0.58 eV/atom.

It has space group F-43m (No. 216), with a = 6.801 Å, b = 6.801 Å, c = 6.801 Å, α = 90.00°, β = 90.00° and γ = 90.00°. Symmetry generates all atoms from Hg at (0.000, 0.000, 0.000), As at (0.000, 0.000, 0.500), As at (0.250, 0.250, 0.750) and P at (0.250, 0.250, 0.250).


[13]
The following is a PBE-GGA calculation of crystalline HgAs2P2 at its relaxed geometry, from Alexandria via LeMat-Bulk.

The value obtained for the energy is -3.7611 eV/atom. Its size of the total moment is 0.00 μB per atom. The energy above the most stable polymorph in this dataset is 1.248 kcal/mol of atoms. The density of states at the Fermi level comes out at 2.7 states/eV per cell. As for the calculated formation energy: 0.32 eV/atom.

It has space group I4/mmm (No. 139), with a = 4.520 Å, b = 4.520 Å, c = 11.653 Å, α = 90.00°, β = 90.00° and γ = 90.00°. Symmetry generates all atoms from Hg at (0.000, 0.000, 0.000), As at (0.000, 0.500, 0.250) and P at (0.000, 0.000, 0.342).


[14]
The following is a PBE-GGA calculation of crystalline HgAsP at its relaxed geometry, from Alexandria via LeMat-Bulk.

The value obtained for the energy is -3.3449 eV/atom. Its size of the total moment is 0.00 μB per atom. The energy above the most stable polymorph in this dataset is 1.432 kcal/mol of atoms. The density of states at the Fermi level comes out at 1.5 states/eV per cell. As for the calculated formation energy: 0.11 eV/atom.

It has space group P-1 (No. 2), with a = 4.467 Å, b = 4.586 Å, c = 7.402 Å, α = 81.02°, β = 78.25° and γ = 78.43°. Symmetry generates all atoms from Hg at (0.000, 0.000, 0.000), Hg at (0.500, 0.500, 0.000), As at (0.115, 0.196, 0.374) and P at (0.319, 0.399, 0.603).


[15]
The following is a PBE-GGA calculation of crystalline HgAs2P at its relaxed geometry, from Alexandria via LeMat-Bulk.

The value obtained for the energy is -3.4990 eV/atom. Its size of the total moment is 0.00 μB per atom. The energy above the most stable polymorph in this dataset is 0.440 kcal/mol of atoms. The density of states at the Fermi level comes out at 1.1 states/eV per cell. As for the calculated formation energy: 0.25 eV/atom.

It has space group Pm (No. 6), with a = 3.756 Å, b = 4.768 Å, c = 5.406 Å, α = 90.00°, β = 105.55° and γ = 90.00°. Symmetry generates all atoms from Hg at (0.000, 0.000, 0.000), As at (0.288, 0.500, 0.663), As at (0.508, 0.000, 0.492) and P at (0.694, 0.500, 0.369).